DFT (GGA-PBE) results for LiScMnNi after structural relaxation.

Lattice parameters (Å, degrees): 4.3822 4.3822 4.3822 60.00 60.00 60.00
Fractional coordinates of all 4 atoms:
Li: 0.0000 0.0000 0.0000
Sc: 0.7500 0.7500 0.7500
Mn: 0.2500 0.2500 0.2500
Ni: 0.5000 0.5000 0.5000

Calculated values
uncorrected energy: -23.42 eV/f.u.
symmetry: F-43m
M_tot: 3.79 μB/cell

***

DFT (GGA-PBE) results for TmHg2Bi after structural relaxation.

Lattice parameters (Å, degrees): 3.7925 3.7925 7.2993 90.00 90.00 90.00
Fractional coordinates of all 4 atoms:
Tm: 0.0000 0.0000 0.0000
Hg: 0.5000 0.5000 0.2378
Hg: 0.5000 0.5000 0.7622
Bi: 0.0000 0.0000 0.5000

Calculated values
uncorrected energy: -9.82 eV/f.u.
symmetry: P4/mmm
M_tot: 0.00 μB/cell

***

DFT (GGA-PBE) results for BiPd3N after structural relaxation.

Lattice parameters (Å, degrees): 5.1456 5.1456 5.1456 90.00 90.00 90.00
Fractional coordinates of all 5 atoms:
Bi: 0.0000 0.0000 0.0000
Pd: 0.0000 0.0000 0.5000
Pd: 0.0000 0.5000 0.0000
Pd: 0.5000 0.0000 0.0000
N: 0.5000 0.5000 0.5000

Calculated values
uncorrected energy: -19.16 eV/f.u.
energy relative to the elements, uncorrected: 1.724 eV per atom
symmetry: Pm-3m
M_tot: 1.81 μB/cell
excess energy over the best structure of this formula in the dataset: 1575 meV/atom

***

DFT (GGA-PBE) results for Ac2Pm8Tm after structural relaxation.

Lattice parameters (Å, degrees): 9.0700 9.0700 7.0324 100.39 100.39 44.83
Fractional coordinates of all 11 atoms:
Ac: 0.1959 0.1959 0.3082
Ac: 0.8041 0.8041 0.6918
Pm: 0.1797 0.6514 0.1050
Pm: 0.2440 0.2440 0.8198
Pm: 0.3486 0.8203 0.8950
Pm: 0.4122 0.4122 0.5909
Pm: 0.5878 0.5878 0.4091
Pm: 0.6514 0.1797 0.1050
Pm: 0.7560 0.7560 0.1802
Pm: 0.8203 0.3486 0.8950
Tm: 0.0000 0.0000 0.5000

Calculated values
uncorrected energy: -49.06 eV/f.u.
symmetry: C2/m
M_tot: 0.00 μB/cell
excess energy over the best structure of this formula in the dataset: 0 meV/atom

***

DFT (GGA-PBE) results for VHIr2W after structural relaxation.

Lattice parameters (Å, degrees): 3.8922 3.8922 3.9782 90.00 90.00 90.00
Fractional coordinates of all 5 atoms:
V: 0.0000 0.0000 0.0000
H: 0.0000 0.0000 0.5000
Ir: 0.0000 0.5000 0.5000
Ir: 0.5000 0.0000 0.5000
W: 0.5000 0.5000 0.0000

Calculated values
uncorrected energy: -44.24 eV/f.u.
symmetry: P4/mmm
M_tot: 0.00 μB/cell
excess energy over the best structure of this formula in the dataset: 0 meV/atom

***

DFT (GGA-PBE) results for Zn2PRh after structural relaxation.

Lattice parameters (Å, degrees): 4.3189 4.3189 4.3189 60.00 60.00 60.00
Fractional coordinates of all 4 atoms:
Zn: 0.0000 0.0000 0.0000
Zn: 0.2500 0.2500 0.2500
P: 0.5000 0.5000 0.5000
Rh: 0.7500 0.7500 0.7500

Calculated values
uncorrected energy: -15.32 eV/f.u.
symmetry: F-43m
M_tot: 0.00 μB/cell

***

DFT (GGA-PBE) results for CoOsRu after structural relaxation.

Lattice parameters (Å, degrees): 2.6765 2.6765 6.3974 90.00 90.00 120.00
Fractional coordinates of all 3 atoms:
Co: 0.0000 0.0000 0.0000
Os: 0.6667 0.3333 0.3275
Ru: 0.3333 0.6667 0.6701

Calculated values
uncorrected energy: -27.04 eV/f.u.
symmetry: P3m1
M_tot: 1.25 μB/cell
excess energy over the best structure of this formula in the dataset: 137 meV/atom

***

DFT (GGA-PBE) results for LiCu4P3O12 after structural relaxation.

Lattice parameters (Å, degrees): 7.3388 7.7190 9.6802 110.68 111.26 91.33
Fractional coordinates of all 40 atoms:
Li: 0.1039 0.3559 0.0523
Li: 0.8961 0.6441 0.9477
Cu: 0.2214 0.5706 0.5518
Cu: 0.2329 0.9773 0.5842
Cu: 0.2458 0.9570 0.2262
Cu: 0.4984 0.7105 0.0375
Cu: 0.5016 0.2895 0.9625
Cu: 0.7542 0.0430 0.7738
Cu: 0.7671 0.0227 0.4158
Cu: 0.7786 0.4294 0.4482
P: 0.1039 0.3694 0.7528
P: 0.1864 0.9518 0.8869
P: 0.4961 0.2633 0.5809
P: 0.5039 0.7367 0.4191
P: 0.8136 0.0482 0.1131
P: 0.8961 0.6306 0.2472
O: 0.0311 0.5935 0.1561
O: 0.0399 0.0936 0.1642
O: 0.0515 0.4751 0.6338
O: 0.0726 0.1565 0.6507
O: 0.2532 0.8697 0.7455
O: 0.2714 0.1657 0.9798
O: 0.2750 0.8485 0.0060
O: 0.3072 0.1077 0.4582
O: 0.3265 0.4464 0.8745
O: 0.3493 0.7541 0.4982
O: 0.4283 0.7884 0.2682
O: 0.4555 0.4636 0.6280
O: 0.5445 0.5364 0.3720
O: 0.5717 0.2116 0.7318
O: 0.6507 0.2459 0.5018
O: 0.6735 0.5536 0.1255
O: 0.6928 0.8923 0.5418
O: 0.7250 0.1515 0.9940
O: 0.7286 0.8343 0.0202
O: 0.7468 0.1303 0.2545
O: 0.9274 0.8435 0.3493
O: 0.9485 0.5249 0.3662
O: 0.9601 0.9064 0.8358
O: 0.9689 0.4065 0.8439

Calculated values
uncorrected energy: -124.72 eV/f.u.
energy relative to the elements, uncorrected: -1.535 eV per atom
symmetry: P-1
M_tot: 7.49 μB/cell
excess energy over the best structure of this formula in the dataset: 9 meV/atom

***

DFT (GGA-PBE) results for Ba3NaGe2O8 after structural relaxation.

Lattice parameters (Å, degrees): 5.9323 5.9323 7.6211 90.00 90.00 120.00
Fractional coordinates of all 14 atoms:
Ba: 0.0000 0.0000 0.0000
Ba: 0.3333 0.6667 0.6496
Ba: 0.6667 0.3333 0.3504
Na: 0.0000 0.0000 0.5000
Ge: 0.3333 0.6667 0.2074
Ge: 0.6667 0.3333 0.7926
O: 0.1744 0.3488 0.3019
O: 0.1744 0.8256 0.3019
O: 0.3333 0.6667 0.9783
O: 0.3488 0.1744 0.6981
O: 0.6512 0.8256 0.3019
O: 0.6667 0.3333 0.0217
O: 0.8256 0.1744 0.6981
O: 0.8256 0.6512 0.6981

Calculated values
uncorrected energy: -86.14 eV/f.u.
energy relative to the elements, uncorrected: -2.154 eV per atom
symmetry: P-3m1
M_tot: 1.16 μB/cell

***

DFT (GGA-PBE) results for K3Pm2InO6 after structural relaxation.

Lattice parameters (Å, degrees): 6.1094 6.1094 6.6064 98.82 98.82 120.02
Fractional coordinates of all 12 atoms:
K: 0.0000 0.0000 0.0000
K: 0.3378 0.6622 0.0000
K: 0.6622 0.3378 0.0000
Pm: 0.1669 0.8331 0.5000
Pm: 0.8331 0.1669 0.5000
In: 0.5000 0.5000 0.5000
O: 0.1145 0.4367 0.3093
O: 0.2410 0.2410 0.6896
O: 0.4367 0.1145 0.3093
O: 0.5633 0.8855 0.6907
O: 0.7590 0.7590 0.3104
O: 0.8855 0.5633 0.6907

Calculated values
uncorrected energy: -72.30 eV/f.u.
energy relative to the elements, uncorrected: -2.252 eV per atom
symmetry: C2/m
M_tot: 0.00 μB/cell

***

DFT (GGA-PBE) results for BeSb2TeMo after structural relaxation.

Lattice parameters (Å, degrees): 5.2677 5.2677 5.2315 90.00 90.00 90.00
Fractional coordinates of all 5 atoms:
Be: 0.0000 0.0000 0.0000
Sb: 0.0000 0.5000 0.5000
Sb: 0.5000 0.0000 0.5000
Te: 0.5000 0.5000 0.0000
Mo: 0.5000 0.5000 0.5000

Calculated values
uncorrected energy: -21.13 eV/f.u.
energy relative to the elements, uncorrected: 0.962 eV per atom
symmetry: P4/mmm
M_tot: 0.00 μB/cell
excess energy over the best structure of this formula in the dataset: 5 meV/atom

***

DFT (GGA-PBE) results for Ca2Mg5Au3 after structural relaxation.

Lattice parameters (Å, degrees): 13.7872 13.7872 7.5072 90.00 90.00 161.25
Fractional coordinates of all 20 atoms:
Ca: 0.0250 0.9750 0.5000
Ca: 0.3241 0.6759 0.5782
Ca: 0.6759 0.3241 0.0782
Ca: 0.9750 0.0250 0.0000
Mg: 0.0967 0.9033 0.8805
Mg: 0.2081 0.7919 0.3820
Mg: 0.2087 0.7913 0.7746
Mg: 0.3704 0.6296 0.0458
Mg: 0.4443 0.5557 0.6722
Mg: 0.5557 0.4443 0.1722
Mg: 0.6296 0.3704 0.5458
Mg: 0.7913 0.2087 0.2746
Mg: 0.7919 0.2081 0.8820
Mg: 0.9033 0.0967 0.3805
Au: 0.1130 0.8870 0.2574
Au: 0.2653 0.7347 0.0785
Au: 0.4567 0.5433 0.2908
Au: 0.5433 0.4567 0.7908
Au: 0.7347 0.2653 0.5785
Au: 0.8870 0.1130 0.7574

Calculated values
uncorrected energy: -27.20 eV/f.u.
symmetry: Cmc2_1
M_tot: 0.00 μB/cell

***

Which formula does entry 9 have? Ba3NaGe2O8